Entry from Alexandria: crystalline TaNbSiS2 at its relaxed geometry (PBE).

Cell: 4.386 4.386 4.859 Å, 90.00 90.00 90.00°
Space group P4/mmm (No. 123)
Symmetry-distinct sites (fractional):
Ta: 0.000 0.000 0.000
Nb: 0.500 0.500 0.000
Si: 0.500 0.500 0.500
S: 0.000 0.500 0.500

Output
N(E_F)	5.490	states/eV/f.u.
raw total energy	-6.09	eV per atom
formation energy without anion corrections	1.0349	eV/atom
magnetization	0.0	μB per cell